Entry 1:
CoSiPb: optimized geometry, PBE.

Cell lengths 3.9111, 3.9111, 4.2635 Å; angles 90.00, 90.00, 120.00 degrees
Element x y z (fractional)
1 Co 0.0000 0.0000 0.8335
2 Pb 0.6667 0.3333 0.3333
3 Si 0.3333 0.6667 0.8332

Summary:
* relative energy among the computed polymorphs: 21.9 meV per atom
* volume: 56.5 Å³/cell
* space-group type: P-6m2 (187)
* total magnetic moment: 0.00 Bohr magnetons per cell
* DOS(E_F): 1.087 states/eV/atom


Entry 2:
BaY2W: optimized geometry, PBE.

Cell lengths 5.7941, 5.7941, 3.4603 Å; angles 90.00, 90.00, 106.89 degrees
Element x y z (fractional)
1 W 0.0000 0.5000 0.5000
2 Y 0.0000 0.0000 0.0000
3 Ba 0.5000 0.0000 0.5000
4 Y 0.5000 0.5000 0.0000

Summary:
* DFT formation energy: 0.9383 eV per atom
* relative energy among the computed polymorphs: 471.4 meV per atom
* volume: 111.2 Å³/cell
* space-group type: Cmmm (65)
* total magnetic moment: 0.00 Bohr magnetons per cell
* DOS(E_F): 1.459 states/eV/atom